First-principles (PBE-GGA) data for TcPb2Cl8 after structural relaxation, as listed in the Alexandria database.

a = 8.139 Å, b = 8.139 Å, c = 7.078 Å
α = 90.10°, β = 90.10°, γ = 46.51°
Atoms (fractional coordinates):
Tc1 0.000 0.000 0.000
Pb1 0.139 0.139 0.533
Pb2 0.861 0.861 0.467
Cl1 0.157 0.157 0.937
Cl2 0.228 0.729 0.759
Cl3 0.271 0.772 0.241
Cl4 0.313 0.313 0.442
Cl5 0.687 0.687 0.558
Cl6 0.729 0.228 0.759
Cl7 0.772 0.271 0.241
Cl8 0.843 0.843 0.063

## Properties
formation energy (no corrections) = -0.9122 eV per atom
total energy = -3.872 eV/atom
crystal system = monoclinic